Here is an optimized crystal structure of SmGd2In3Au3 from OQMD via LeMat-Bulk. Energies are from PBE-GGA.

a = 4.019 Å, b = 7.817 Å, c = 7.817 Å
α = 120.08°, β = 90.00°, γ = 90.00°
Positions (direct):
In1 0.500 0.000 0.260
In2 0.500 0.260 0.000
In3 0.500 0.740 0.740
Sm1 0.000 0.406 0.406
Gd1 0.000 0.000 0.595
Gd2 0.000 0.595 0.000
Au1 0.500 0.332 0.669
Au2 0.000 0.998 0.998
Au3 0.500 0.669 0.332

Total energy (eV/cell): -38.77
Space group: No. 38